(1)
A relaxed Li3Pu3VS8 crystal, computed with GGA-PBE.

Total energy (Ry/atom): -0.549
V (Å³ per cell): 311.79
Crystal system: trigonal
ΔE_f (raw) (eV/atom): -1.41

```
Li3Pu3VS8
1.0
7.672 0.000 0.000
-3.836 6.644 -0.024
0.000 -4.409 6.132
S Li V Pu
8 3 1 3
Direct
0.231 0.463 0.734
0.752 0.504 0.756
0.771 0.003 0.734
0.229 0.997 0.266
0.769 0.537 0.266
0.769 0.997 0.266
0.248 0.496 0.244
0.231 0.003 0.734
0.000 0.000 0.000
0.000 0.500 0.000
0.500 0.500 0.000
0.000 0.000 0.500
0.500 0.000 0.500
0.000 0.500 0.500
0.500 0.500 0.500
```

(2)
A relaxed Li4Y3PuS8 crystal, computed with GGA-PBE.

Total energy (Ry/atom): -0.471
V (Å³ per cell): 330.32
Crystal system: trigonal
ΔE_f (raw) (eV/atom): -1.76

```
Li4Y3PuS8
1.0
-3.501 4.282 -5.589
4.191 -3.547 -5.344
-4.344 -4.106 5.107
Y S Li Pu
3 8 4 1
Direct
0.000 0.500 0.500
0.500 0.500 0.500
0.500 0.500 0.000
0.252 0.751 0.000
0.252 0.751 0.503
0.751 0.752 0.501
0.748 0.249 0.000
0.252 0.249 0.000
0.748 0.751 0.000
0.748 0.249 0.497
0.249 0.248 0.499
0.500 0.000 0.500
0.000 0.000 0.000
0.500 0.000 0.000
0.000 0.000 0.500
0.000 0.500 0.000
```

(3)
A relaxed LiY3Pu3S8 crystal, computed with GGA-PBE.

Total energy (Ry/atom): -0.610
V (Å³ per cell): 340.07
Crystal system: monoclinic
ΔE_f (raw) (eV/atom): -1.81

```
LiY3Pu3S8
1.0
7.841 0.006 0.010
-3.915 6.792 -0.034
0.005 -4.513 6.401
S Pu Y Li
8 3 3 1
Direct
0.751 0.502 0.753
0.246 0.000 0.746
0.754 0.000 0.254
0.759 0.003 0.748
0.245 0.489 0.748
0.249 0.498 0.247
0.241 0.997 0.252
0.755 0.511 0.252
0.500 0.500 0.500
0.500 0.000 0.500
0.000 0.500 0.500
0.500 0.500 0.000
0.000 0.500 0.000
0.000 0.000 0.000
0.000 0.000 0.500
```

(4)
A relaxed Li3YPu2S6 crystal, computed with GGA-PBE.

Total energy (Ry/atom): -0.523
V (Å³ per cell): 248.47
Crystal system: monoclinic
ΔE_f (raw) (eV/atom): -1.64

```
Li3YPu2S6
1.0
-3.017 1.021 6.051
-2.792 -4.294 -4.530
5.172 -3.538 1.887
Li S Y Pu
3 6 1 2
Direct
0.834 0.166 0.500
0.166 0.834 0.500
0.500 0.500 0.500
0.751 0.751 0.252
0.916 0.583 0.749
0.249 0.249 0.748
0.084 0.417 0.251
0.583 0.916 0.749
0.417 0.084 0.251
0.000 0.000 0.000
0.333 0.667 0.000
0.667 0.333 0.000
```

(5)
A relaxed Li3Y2PuS6 crystal, computed with GGA-PBE.

Total energy (Ry/atom): -0.481
V (Å³ per cell): 248.42
Crystal system: monoclinic
ΔE_f (raw) (eV/atom): -1.73

```
Li3Y2PuS6
1.0
-3.901 -3.358 -4.481
0.981 -2.551 6.253
-3.979 5.021 1.432
S Li Y Pu
6 3 2 1
Direct
0.420 0.084 0.252
0.084 0.420 0.252
0.580 0.916 0.748
0.916 0.580 0.748
0.748 0.748 0.252
0.252 0.252 0.748
0.500 0.500 0.500
0.168 0.832 0.500
0.832 0.168 0.500
0.333 0.667 0.000
0.667 0.333 0.000
0.000 0.000 0.000
```

(6)
A relaxed LiY2PuS5 crystal, computed with GGA-PBE.

Total energy (Ry/atom): -0.534
V (Å³ per cell): 373.88
Crystal system: orthorhombic
ΔE_f (raw) (eV/atom): -1.73

```
LiY2PuS5
1.0
-1.840 -3.022 -1.677
6.980 -3.410 3.056
-5.538 -2.251 10.136
Pu S Y Li
2 10 4 2
Direct
0.801 0.603 0.502
0.199 0.397 0.002
0.712 0.423 0.164
0.046 0.092 0.075
0.500 0.000 0.283
0.954 0.908 0.575
0.500 0.000 0.783
0.366 0.733 0.001
0.692 0.383 0.840
0.308 0.617 0.340
0.634 0.267 0.501
0.288 0.577 0.664
0.108 0.217 0.684
0.123 0.247 0.295
0.892 0.783 0.184
0.877 0.753 0.795
0.516 0.032 0.980
0.484 0.968 0.480
```

(7)
A relaxed LiY3Pu4S8 crystal, computed with GGA-PBE.

Total energy (Ry/atom): -0.647
V (Å³ per cell): 343.69
Crystal system: trigonal
ΔE_f (raw) (eV/atom): -1.82

```
LiY3Pu4S8
1.0
-0.723 -0.180 7.843
1.214 -7.752 -0.066
5.218 4.849 -3.365
Pu Y S Li
4 3 8 1
Direct
0.500 0.000 0.500
0.500 0.000 0.000
0.000 0.000 0.000
0.000 0.000 0.500
0.500 0.500 0.000
0.000 0.500 0.500
0.500 0.500 0.500
0.246 0.743 0.997
0.250 0.251 0.500
0.249 0.257 0.003
0.246 0.743 0.492
0.754 0.257 0.508
0.750 0.749 0.500
0.754 0.257 0.003
0.751 0.743 0.997
0.000 0.500 0.000
```

(8)
A relaxed LiPuZrS4 crystal, computed with GGA-PBE.

Total energy (Ry/atom): -0.547
V (Å³ per cell): 331.29
Crystal system: orthorhombic
ΔE_f (raw) (eV/atom): -1.55

```
LiPuZrS4
1.0
-6.459 -0.026 3.858
-5.688 -4.800 -2.219
-1.612 -6.049 4.596
S Pu Zr Li
8 2 2 2
Direct
0.230 0.764 0.264
0.258 0.236 0.736
0.749 0.776 0.725
0.742 0.764 0.264
0.749 0.225 0.276
0.251 0.775 0.724
0.770 0.236 0.736
0.251 0.224 0.275
0.000 0.500 0.500
0.000 0.000 0.000
0.500 0.000 0.500
0.000 0.000 0.500
0.373 0.377 0.877
0.627 0.623 0.123
```

Q: What is the ΔE_f (raw) in the fourth record?
A: -1.64 eV/atom